Record 1
A plane-wave DFT calculation with GGA-PBE was carried out for NbCrI2 after structural relaxation.

abc: 6.7793 6.7793 6.7793
angles: 90.00 90.00 90.00
Space group Fm-3m (No. 225)
Unique sites:
Nb: 0.0000 0.0000 0.0000 [4 per cell]
Cr: 0.0000 0.0000 0.5000 [4 per cell]
I: 0.2500 0.2500 0.2500 [8 per cell]

Output
* offset from the most stable computed form: 0.181 eV per atom
* total magnetization: 0.00 μB per atom
* DFT total energy: -4.764 eV per atom
* volume: 312 Å³/cell

Record 2
A plane-wave DFT calculation with GGA-PBE was carried out for AcCeGe4 after structural relaxation.

abc: 4.1270 8.2743 8.6435
angles: 90.00 90.00 90.00
Space group Immm (No. 71)
Unique sites:
Ac: 0.0000 0.0000 0.0000 [2 per cell]
Ce: 0.0000 0.0000 0.5000 [2 per cell]
Ge: 0.0000 0.3399 0.2353 [8 per cell]

Output
* offset from the most stable computed form: 0.000 eV per atom
* total magnetization: 0.11 μB per atom
* DFT total energy: -5.320 eV per atom
* volume: 295 Å³/cell
* formation energy: -568.0 meV per atom

Record 3
A plane-wave DFT calculation with GGA-PBE was carried out for Rb2MgAg after structural relaxation.

abc: 10.2489 10.2489 7.1233
angles: 90.00 90.00 90.00
Space group I-42d (No. 122)
Unique sites:
Rb: 0.2042 0.2500 0.1250 [8 per cell]
Mg: 0.0000 0.0000 0.5000 [4 per cell]
Ag: 0.0000 0.0000 0.0000 [4 per cell]

Output
* offset from the most stable computed form: 0.065 eV per atom
* total magnetization: 0.00 μB per atom
* DFT total energy: -1.298 eV per atom
* volume: 748 Å³/cell
* formation energy: 297.7 meV per atom

Record 4
A plane-wave DFT calculation with GGA-PBE was carried out for HfAsRhSe2 after structural relaxation.

abc: 5.0767 5.0767 5.1509
angles: 90.00 90.00 90.00
Space group P4/mmm (No. 123)
Unique sites:
Hf: 0.0000 0.0000 0.0000 [1 per cell]
As: 0.0000 0.0000 0.5000 [1 per cell]
Rh: 0.5000 0.5000 0.5000 [1 per cell]
Se: 0.0000 0.5000 0.0000 [2 per cell]

Output
* offset from the most stable computed form: 0.125 eV per atom
* total magnetization: 0.36 μB per atom
* DFT total energy: -5.390 eV per atom
* volume: 133 Å³/cell

Record 5
A plane-wave DFT calculation with GGA-PBE was carried out for LiCe3Ge3 after structural relaxation.

abc: 7.3413 11.6864 7.8699
angles: 90.00 98.88 90.00
Space group C2/m (No. 12)
Unique sites:
Li: 0.2206 0.0000 0.4881 [4 per cell]
Ce: 0.0000 0.2723 0.5000 [4 per cell]
Ce: 0.0000 0.3141 0.0000 [4 per cell]
Ce: 0.1646 0.0000 0.8925 [4 per cell]
Ge: 0.0208 0.5000 0.7329 [4 per cell]
Ge: 0.1884 0.1437 0.2322 [8 per cell]

Output
* offset from the most stable computed form: 0.141 eV per atom
* total magnetization: 0.44 μB per atom
* DFT total energy: -5.287 eV per atom
* volume: 667 Å³/cell
* formation energy: -492.0 meV per atom

Record 6
A plane-wave DFT calculation with GGA-PBE was carried out for Zr2Co2Cu after structural relaxation.

abc: 6.8314 6.8314 3.3779
angles: 90.00 90.00 90.00
Space group P4/mbm (No. 127)
Unique sites:
Zr: 0.1714 0.3286 0.0000 [4 per cell]
Co: 0.1316 0.6316 0.5000 [4 per cell]
Cu: 0.0000 0.0000 0.5000 [2 per cell]

Output
* offset from the most stable computed form: 0.060 eV per atom
* total magnetization: 0.00 μB per atom
* DFT total energy: -7.300 eV per atom
* volume: 158 Å³/cell
* formation energy: -219.5 meV per atom

Record 7
A plane-wave DFT calculation with GGA-PBE was carried out for LaCrTc2 after structural relaxation.

abc: 3.1553 4.6615 4.7993
angles: 90.00 90.00 90.00
Space group Pmmm (No. 47)
Unique sites:
La: 0.0000 0.0000 0.0000 [1 per cell]
Cr: 0.5000 0.0000 0.5000 [1 per cell]
Tc: 0.0000 0.5000 0.5000 [1 per cell]
Tc: 0.5000 0.5000 0.0000 [1 per cell]

Output
* offset from the most stable computed form: 0.342 eV per atom
* total magnetization: 0.33 μB per atom
* DFT total energy: -8.180 eV per atom
* volume: 71 Å³/cell
* formation energy: 640.2 meV per atom

Record 8
A plane-wave DFT calculation with GGA-PBE was carried out for Cu5NiPt6 after structural relaxation.

abc: 4.5335 5.5554 6.6107
angles: 90.00 94.75 90.00
Space group P2/m (No. 10)
Unique sites:
Cu: 0.0000 0.0000 0.0000 [1 per cell]
Cu: 0.3381 0.0000 0.6638 [2 per cell]
Cu: 0.3380 0.5000 0.6643 [2 per cell]
Ni: 0.0000 0.5000 0.0000 [1 per cell]
Pt: 0.1602 0.2507 0.3300 [4 per cell]
Pt: 0.5000 0.2512 0.0000 [2 per cell]

Output
* total magnetization: 0.14 μB per atom
* DFT total energy: -5.339 eV per atom
* volume: 166 Å³/cell
* formation energy: -129.8 meV per atom

Record 9
A plane-wave DFT calculation with GGA-PBE was carried out for LiCu2Hg2 after structural relaxation.

abc: 7.4270 7.4270 3.2191
angles: 90.00 90.00 90.00
Space group P4/mbm (No. 127)
Unique sites:
Li: 0.0000 0.0000 0.0000 [2 per cell]
Cu: 0.1290 0.3710 0.5000 [4 per cell]
Hg: 0.1689 0.6689 0.0000 [4 per cell]

Output
* offset from the most stable computed form: 0.051 eV per atom
* total magnetization: 0.00 μB per atom
* DFT total energy: -2.095 eV per atom
* volume: 178 Å³/cell
* formation energy: 47.3 meV per atom

Record 10
A plane-wave DFT calculation with GGA-PBE was carried out for UGaTcPt after structural relaxation.

abc: 6.5797 6.5797 6.5797
angles: 90.00 90.00 90.00
Space group F-43m (No. 216)
Unique sites:
U: 0.0000 0.0000 0.0000 [4 per cell]
Ga: 0.0000 0.0000 0.5000 [4 per cell]
Tc: 0.2500 0.2500 0.7500 [4 per cell]
Pt: 0.2500 0.2500 0.2500 [4 per cell]

Output
* total magnetization: 0.45 μB per atom
* DFT total energy: -7.964 eV per atom
* volume: 285 Å³/cell
* formation energy: -283.6 meV per atom

Record 11
A plane-wave DFT calculation with GGA-PBE was carried out for LiVSb3 after structural relaxation.

abc: 5.1747 5.1747 5.1747
angles: 90.00 90.00 90.00
Space group Pm-3m (No. 221)
Unique sites:
Li: 0.0000 0.0000 0.0000 [1 per cell]
V: 0.5000 0.5000 0.5000 [1 per cell]
Sb: 0.0000 0.5000 0.5000 [3 per cell]

Output
* offset from the most stable computed form: 0.000 eV per atom
* total magnetization: 0.00 μB per atom
* DFT total energy: -4.511 eV per atom
* volume: 139 Å³/cell

Record 12
A plane-wave DFT calculation with GGA-PBE was carried out for Zr4SbTe after structural relaxation.

abc: 6.7164 6.9030 6.9016
angles: 90.00 100.36 90.00
Space group P2_1/c (No. 14)
Unique sites:
Zr: 0.1115 0.1420 0.3862 [4 per cell]
Zr: 0.3516 0.6266 0.3399 [4 per cell]
Sb: 0.0000 0.0000 0.0000 [2 per cell]
Te: 0.5000 0.0000 0.5000 [2 per cell]

Output
* offset from the most stable computed form: 0.000 eV per atom
* total magnetization: 0.00 μB per atom
* DFT total energy: -7.022 eV per atom
* volume: 315 Å³/cell